(1)
NaAgSnSeS2: relaxed, PBE.

* V: 23.4 Å³/atom
* symmetry: No. 63

Unit cell a=7.2460 b=7.2460 c=10.6025 alpha=90.00 beta=90.00 gamma=149.72
Last column: nearest neighbours and their distance in Å.
Atoms (fractional coordinates):
Na  0.2135  0.7865  0.7500  2 Se 2.90, 2 S 3.14, 2 Ag 3.16
Na  0.7865  0.2135  0.2500  2 Se 2.90, 2 S 3.14, 2 Ag 3.16
Ag  0.1054  0.8946  0.2500  2 S 2.41
Ag  0.8946  0.1054  0.7500  2 S 2.41
Sn  0.5000  0.5000  0.0000  4 S 2.64, 2 Se 2.76
Sn  0.5000  0.5000  0.5000  4 S 2.64, 2 Se 2.76
Se  0.4440  0.5560  0.2500  2 Sn 2.76, 2 Na 2.90, 2 Ag 2.95
Se  0.5560  0.4440  0.7500  2 Sn 2.76, 2 Na 2.90, 2 Ag 2.95
S  0.1300  0.8700  0.0251  1 Ag 2.41, 2 Sn 2.64
S  0.1300  0.8700  0.4749  1 Ag 2.41, 2 Sn 2.64
S  0.8700  0.1300  0.5251  1 Ag 2.41, 2 Sn 2.64
S  0.8700  0.1300  0.9749  1 Ag 2.41, 2 Sn 2.64



(2)
Sn3Pd4Pb: relaxed, PBE.

* V: 20.2 Å³/atom
* symmetry: No. 6

Unit cell a=6.2884 b=3.9839 c=6.4346 alpha=90.00 beta=90.14 gamma=90.00
Last column: nearest neighbours and their distance in Å.
Atoms (fractional coordinates):
Sn  0.0000  0.0000  0.0000  6 Pd 2.69-2.91
Sn  0.1231  0.5000  0.4945  6 Pd 2.68-2.79
Sn  0.5028  0.0000  0.3082  6 Pd 2.70-2.87
Pd  0.2940  0.5000  0.0949  5 Sn 2.75-2.79, 1 Pb 2.78
Pd  0.3094  0.0000  0.7115  4 Sn 2.69-2.87, 2 Pb 2.85
Pd  0.8019  0.5000  0.2198  5 Sn 2.68-2.80, 1 Pb 2.91
Pd  0.8330  0.0000  0.5784  4 Sn 2.70-2.91, 2 Pb 2.81
Pb  0.6202  0.5000  0.8039  6 Pd 2.78-2.91



(3)
NbZnFeAs: relaxed, PBE.

* V: 14.9 Å³/atom
* symmetry: No. 216

Unit cell a=4.3817 b=4.3817 c=4.3817 alpha=60.00 beta=60.00 gamma=60.00
Last column: nearest neighbours and their distance in Å.
Atoms (fractional coordinates):
Nb  0.0000  0.0000  0.0000  4 Fe 2.68, 4 Zn 2.68
Zn  0.2500  0.2500  0.2500  4 As 2.68, 4 Nb 2.68
Fe  0.7500  0.7500  0.7500  4 As 2.68, 4 Nb 2.68
As  0.5000  0.5000  0.5000  4 Fe 2.68, 4 Zn 2.68



E (Ry per atom)
-0.27373; -0.36856; -0.42997